Run i
# HfTcB2

HfTcB2 after structural relaxation (PBE, the Alexandria database).

Cell and atoms, written as POSCAR:
```
HfTcB2
1.0
3.1224 0.0000 0.0000
0.0000 1.6514 4.3683
0.0000 -1.6514 4.3683
Hf Tc B
1 1 2
direct
0.0000 0.0000 0.0000 Hf
0.5000 0.7113 0.7113 Tc
0.0000 0.2936 0.2936 B
0.5000 0.3997 0.3997 B
```

Results
M_tot (μB per formula unit): 0.00
Crystal system: orthorhombic



Run ii
# HfTcB2

HfTcB2 after structural relaxation (PBE, the Alexandria database).

Cell and atoms, written as POSCAR:
```
HfTcB2
1.0
-2.3663 2.3663 5.4583
2.3663 -2.3663 5.4583
2.3663 2.3663 -5.4583
Hf Tc B
2 2 4
direct
0.0000 0.0000 0.0000 Hf
0.7500 0.2500 0.5000 Hf
0.2500 0.7500 0.5000 Tc
0.5000 0.5000 0.0000 Tc
0.1915 0.6250 0.0665 B
0.3750 0.4415 0.5665 B
0.5585 0.1250 0.9335 B
0.8750 0.8085 0.4335 B
```

Results
M_tot (μB per formula unit): 0.00
Crystal system: tetragonal



We find run i to be the most stable, with the next structure 1078 meV per atom higher.



Run i
# HfTcB2

HfTcB2 after structural relaxation (PBE, the Alexandria database).

Cell and atoms, written as POSCAR:
```
HfTcB2
1.0
0.0000 2.8471 2.8471
2.8471 0.0000 2.8471
2.8471 2.8471 0.0000
Hf Tc B
1 1 2
direct
0.0000 0.0000 0.0000 Hf
0.5000 0.5000 0.5000 Tc
0.2500 0.2500 0.2500 B
0.7500 0.7500 0.7500 B
```

Results
M_tot (μB per formula unit): 0.00
Crystal system: cubic



Run ii
# HfTcB2

HfTcB2 after structural relaxation (PBE, the Alexandria database).

Cell and atoms, written as POSCAR:
```
HfTcB2
1.0
1.5978 0.9225 5.4358
-1.5978 0.9225 5.4358
0.0000 -1.8450 5.4358
Hf Tc B
1 1 2
direct
0.0000 0.0000 0.0000 Hf
0.5000 0.5000 0.5000 Tc
0.2423 0.2423 0.2423 B
0.7577 0.7577 0.7577 B
```

Results
M_tot (μB per formula unit): 0.00
Crystal system: trigonal



We find run ii to be the most stable, with the next structure 384 meV per atom higher.